An optimized crystal structure of SrNi6P2, computed with GGA-PBE.

Cell and atoms, written as extended XYZ:
```
9
Lattice="-0.896 2.164 -2.757 -5.789 2.147 1.187 1.146 5.892 1.873" Properties=species:S:1:pos:R:3 pbc="T T T"
Ni -0.419 3.369 0.405
P -2.090 4.036 -0.902
Ni -2.906 8.029 0.118
Ni -5.120 6.834 -0.101
Ni -4.009 4.433 0.029
Ni -2.632 2.174 0.186
P -3.449 6.167 1.206
Sr -0.896 2.164 -2.757
Ni -1.530 5.771 0.274
```

Properties
Calculated formation energy = -0.313 eV per atom
Uncorrected energy = -5.556 eV per atom
Calculated volume = 129.9 Å³/f.u.
Crystal system = orthorhombic
Spin magnetization = 0.000 Bohr magnetons per cell

An optimized crystal structure of KCaPb2, computed with GGA-PBE.

Cell and atoms, written as extended XYZ:
```
4
Lattice="3.791 0.000 0.000 1.895 3.283 0.000 1.895 1.094 11.152" Properties=species:S:1:pos:R:3 pbc="T T T"
Pb 1.895 1.094 8.539
Ca 5.686 3.283 11.146
K 3.791 2.189 5.583
Pb 1.895 1.094 2.612
```

Properties
Calculated formation energy = -0.180 eV per atom
Uncorrected energy = -2.809 eV per atom
Calculated volume = 138.8 Å³/f.u.
Crystal system = trigonal
Spin magnetization = 0.001 Bohr magnetons per cell

An optimized crystal structure of Tl5Ni3, computed with GGA-PBE.

Cell and atoms, written as extended XYZ:
```
8
Lattice="-3.813 3.960 4.859 -4.922 -1.468 -5.239 -0.894 -2.884 1.648" Properties=species:S:1:pos:R:3 pbc="T T T"
Tl -2.938 -0.731 0.716
Tl -1.906 1.980 2.429
Ni -5.005 -1.129 -1.101
Tl 0.000 0.000 0.000
Tl -6.691 0.340 0.553
Ni -4.624 0.737 2.370
Ni -4.367 1.246 -0.190
Tl -2.461 -0.734 -2.619
```

Properties
Calculated formation energy = 0.368 eV per atom
Uncorrected energy = -3.279 eV per atom
Calculated volume = 180.1 Å³/f.u.
Crystal system = orthorhombic
Spin magnetization = 0.001 Bohr magnetons per cell

An optimized crystal structure of ScV2Tc, computed with GGA-PBE.

Cell and atoms, written as extended XYZ:
```
4
Lattice="-0.726 -1.730 2.419 -1.111 -2.152 -1.872 6.120 -2.933 -0.261" Properties=species:S:1:pos:R:3 pbc="T T T"
Sc 2.142 -3.407 0.143
V 4.833 -2.317 -0.206
V 1.287 -0.617 -0.055
Tc -0.918 -1.941 0.273
```

Properties
Calculated formation energy = -0.022 eV per atom
Uncorrected energy = -8.755 eV per atom
Calculated volume = 63.6 Å³/f.u.
Crystal system = tetragonal
Energy relative to the lowest polymorph listed for this composition = 0.000 eV/f.u.
Spin magnetization = 0.002 Bohr magnetons per cell